1.
Material: Cr2SbSe
Method: DFT, PBE
State: relaxed

The structure in extended XYZ format:
```
4
Lattice="4.8283 0.0000 0.0000 2.4141 4.1814 0.0000 2.4141 1.3938 3.9423" Properties=species:S:1:pos:R:3 pbc="T T T"
Se 7.2424 4.1814 2.9567
Sb 4.8283 2.7876 1.9711
Cr 2.4141 1.3938 0.9856
Cr 0.0000 0.0000 0.0000
```

Values from the calculation:
magnetization = 7.35 Bohr magnetons per cell
total DFT energy (no corrections) = -6.025 eV/atom
excess energy over the best structure of this formula in the dataset = 704 meV per atom
N(E_F) = 0.532 states/eV per atom

***

2.
Material: Cr2SbSe
Method: DFT, PBE
State: relaxed

The structure in extended XYZ format:
```
4
Lattice="-1.3873 0.6894 -3.3316 -1.6646 -3.2787 0.0147 -4.6700 2.3818 2.4375" Properties=species:S:1:pos:R:3 pbc="T T T"
Cr -2.8321 -0.6285 -0.9767
Sb -1.9851 1.0124 1.0361
Se -5.5221 0.7435 0.4274
Cr -4.3876 2.2378 2.2902
```

Values from the calculation:
magnetization = 6.55 Bohr magnetons per cell
total DFT energy (no corrections) = -6.702 eV/atom
excess energy over the best structure of this formula in the dataset = 27 meV per atom
N(E_F) = 0.456 states/eV per atom

***

3.
Material: CrSbSe
Method: DFT, PBE
State: relaxed

The structure in extended XYZ format:
```
6
Lattice="3.5614 0.0000 -0.1734 0.0000 5.0927 0.0000 -1.4126 0.0000 7.7180" Properties=species:S:1:pos:R:3 pbc="T T T"
Sb 1.0376 3.8196 3.0517
Cr -0.5667 1.2732 6.7016
Sb 1.1112 1.2732 4.4930
Se 2.7127 1.2732 0.6727
Se -0.5639 3.8196 6.8720
Cr 2.7155 3.8196 0.8431
```

Values from the calculation:
magnetization = 5.96 Bohr magnetons per cell
total DFT energy (no corrections) = -5.934 eV/atom
N(E_F) = 0.499 states/eV per atom

***

4.
Material: CrSbTe2Se
Method: DFT, PBE
State: relaxed

The structure in extended XYZ format:
```
5
Lattice="-3.4924 -3.4125 0.9187 3.3934 -2.8776 2.2114 -1.0278 2.2725 4.5342" Properties=species:S:1:pos:R:3 pbc="T T T"
Te -1.7462 -1.7062 0.4593
Se -0.5634 -2.0088 3.8322
Sb -0.5139 1.1363 2.2671
Te 1.6967 -1.4388 1.1057
Cr 0.0000 0.0000 0.0000
```

Values from the calculation:
magnetization = 0.00 Bohr magnetons per cell
total DFT energy (no corrections) = -4.289 eV/atom
excess energy over the best structure of this formula in the dataset = 0 meV per atom
N(E_F) = 0.935 states/eV per atom

***

5.
Material: CrSbTe2Se
Method: DFT, PBE
State: relaxed

The structure in extended XYZ format:
```
5
Lattice="-1.2539 1.3429 5.0420 -1.6360 -5.0253 0.9316 4.9873 -1.3282 1.5940" Properties=species:S:1:pos:R:3 pbc="T T T"
Te -0.8180 -2.5126 0.4658
Cr 1.0487 -2.5053 3.7838
Sb 2.4937 -0.6641 0.7970
Se 0.0000 0.0000 0.0000
Te -0.6269 0.6714 2.5210
```

Values from the calculation:
magnetization = 0.09 Bohr magnetons per cell
total DFT energy (no corrections) = -3.405 eV/atom
excess energy over the best structure of this formula in the dataset = 884 meV per atom
N(E_F) = 1.132 states/eV per atom

***

6.
Material: TiCr2SbSe
Method: DFT, PBE
State: relaxed

The structure in extended XYZ format:
```
5
Lattice="4.8330 0.0000 0.0000 0.0000 4.7080 0.0000 0.0000 0.0000 4.8330" Properties=species:S:1:pos:R:3 pbc="T T T"
Cr 0.0000 0.0000 2.4165
Ti 0.0000 0.0000 0.0000
Se 0.0000 2.3540 0.0000
Sb 2.4165 2.3540 2.4165
Cr 2.4165 0.0000 0.0000
```

Values from the calculation:
magnetization = 6.34 Bohr magnetons per cell
total DFT energy (no corrections) = -6.134 eV/atom
N(E_F) = 0.717 states/eV per atom

***

7.
Material: Tl3CrSb3Se8
Method: DFT, PBE
State: relaxed

The structure in extended XYZ format:
```
15
Lattice="8.1134 0.0000 0.0000 -4.0567 7.0262 -0.0286 0.0000 -4.6532 7.7524" Properties=species:S:1:pos:R:3 pbc="T T T"
Se 0.0000 2.3531 2.1985
Se 2.2292 3.6462 5.3340
Sb 2.0283 1.1865 3.8619
Se 6.2858 -1.2731 2.3899
Tl 2.0283 3.5131 -0.0143
Se -2.2292 3.6462 5.3340
Se 0.0000 -0.2064 5.3469
Sb -2.0283 1.1865 3.8619
Se 4.0567 0.0200 5.5254
Cr 0.0000 -2.3266 3.8762
Tl -2.0283 3.5131 -0.0143
Se 4.0567 2.5795 2.3770
Sb 4.0567 -2.3266 3.8762
Se 1.8275 -1.2731 2.3899
Tl 0.0000 0.0000 0.0000
```

Values from the calculation:
magnetization = 1.96 Bohr magnetons per cell
total DFT energy (no corrections) = -4.155 eV/atom
N(E_F) = 0.426 states/eV per atom

***

8.
Material: CrSiSb2
Method: DFT, PBE
State: relaxed

The structure in extended XYZ format:
```
4
Lattice="-2.6116 -1.8102 4.2173 -0.6351 -5.1395 -1.0319 4.0562 3.3316 0.5745" Properties=species:S:1:pos:R:3 pbc="T T T"
Cr 0.8989 -2.6414 0.5676
Si -0.0894 -0.9767 3.1922
Sb -3.2147 -6.8813 3.1540
Sb -1.6553 -3.5434 1.6241
```

Values from the calculation:
magnetization = 3.25 Bohr magnetons per cell
total DFT energy (no corrections) = -5.311 eV/atom
N(E_F) = 0.729 states/eV per atom

***

9.
Material: CrSiSb2
Method: DFT, PBE
State: relaxed

The structure in extended XYZ format:
```
4
Lattice="-2.5075 -0.2859 3.6154 -2.6731 -3.0147 1.7907 3.8463 -3.3485 4.6587" Properties=species:S:1:pos:R:3 pbc="T T T"
Sb -4.6166 -3.4674 5.6043
Cr 0.1757 -2.0122 2.9934
Sb -1.5119 -4.7757 7.2793
Si -1.2292 -3.0190 4.6264
```

Values from the calculation:
magnetization = 0.00 Bohr magnetons per cell
total DFT energy (no corrections) = -5.622 eV/atom
N(E_F) = 0.082 states/eV per atom

***

10.
Material: CrSi2Sb
Method: DFT, PBE
State: relaxed

The structure in extended XYZ format:
```
4
Lattice="-1.8147 0.1519 -3.5485 2.6367 -1.7239 -1.4222 -0.8564 -4.9671 0.2253" Properties=species:S:1:pos:R:3 pbc="T T T"
Si -0.0629 -0.5374 0.0092
Si 0.1019 -1.7904 -2.3703
Cr 0.4071 -2.9996 -0.3366
Sb 0.4096 -4.5573 -2.6461
```

Values from the calculation:
magnetization = 0.00 Bohr magnetons per cell
total DFT energy (no corrections) = -5.928 eV/atom
N(E_F) = 0.469 states/eV per atom

***

11.
Material: CrSiSb2
Method: DFT, PBE
State: relaxed

The structure in extended XYZ format:
```
8
Lattice="-6.0546 -1.4904 -1.3490 1.9971 -4.9479 -3.4969 -2.2328 -6.5473 2.1696" Properties=species:S:1:pos:R:3 pbc="T T T"
Sb -0.1484 -4.9356 -1.8300
Si -2.0287 -3.2191 -2.4230
Sb -4.0110 -3.1667 -0.7197
Cr 0.0000 0.0000 0.0000
Cr -5.1580 -5.6284 -0.8012
Si -1.1322 -7.3572 -1.8752
Sb -3.1692 -7.3915 -0.2372
Sb -5.2518 -10.4772 -2.5659
```

Values from the calculation:
magnetization = 8.00 Bohr magnetons per cell
total DFT energy (no corrections) = -5.452 eV/atom
N(E_F) = 0.090 states/eV per atom

***

12.
Material: CrSi2Sb
Method: DFT, PBE
State: relaxed

The structure in extended XYZ format:
```
4
Lattice="-2.2419 0.6838 1.9322 -2.0276 -1.1636 -1.9396 0.7104 -6.3689 3.0781" Properties=species:S:1:pos:R:3 pbc="T T T"
Sb -1.6019 -5.0166 2.3049
Cr -1.9571 -1.8321 0.7658
Si 0.3036 -2.7219 1.3155
Si 0.0516 -0.4625 0.2235
```

Values from the calculation:
magnetization = 0.84 Bohr magnetons per cell
total DFT energy (no corrections) = -5.928 eV/atom
N(E_F) = 0.701 states/eV per atom

***

13.
Material: CrSiSb2
Method: DFT, PBE
State: relaxed

The structure in extended XYZ format:
```
4
Lattice="-2.4136 5.0221 -4.5043 -4.9804 2.1568 -4.6775 -5.1154 4.6902 -1.7807" Properties=species:S:1:pos:R:3 pbc="T T T"
Cr -9.3820 8.9018 -8.2219
Si -3.1273 2.9673 -2.7406
Sb -6.2318 5.9128 -5.4612
Sb -0.0229 0.0218 -0.0201
```

Values from the calculation:
magnetization = 2.92 Bohr magnetons per cell
total DFT energy (no corrections) = -5.477 eV/atom
N(E_F) = 0.635 states/eV per atom

***

14.
Material: CrSi2Sb
Method: DFT, PBE
State: relaxed

The structure in extended XYZ format:
```
4
Lattice="-1.1552 2.3424 -2.4700 -2.8922 -2.5357 -1.0520 -4.6323 0.6614 2.7937" Properties=species:S:1:pos:R:3 pbc="T T T"
Cr -4.3399 0.2341 -0.3642
Si -2.0237 -0.0966 -1.7610
Sb -2.3161 0.3307 1.3969
Si 0.0000 0.0000 0.0000
```

Values from the calculation:
magnetization = 2.66 Bohr magnetons per cell
total DFT energy (no corrections) = -5.670 eV/atom
N(E_F) = 0.547 states/eV per atom